VASP calculation (GGA+U) on a geometry-optimized Cs2SrV3F12 structure.

The space group is R-3m (No. 166, hexagonal axes) and the conventional cell measures 7.7274, 7.7274 and 18.8229 Å, with angles of 90.00, 90.00 and 120.00 degrees. The asymmetric unit holds Cs at (0.0000, 0.0000, 0.1176), Sr at (0.0000, 0.0000, 0.5000), V at (0.0000, 0.5000, 0.0000), F at (0.0093, 0.5046, 0.1060) and F at (0.0771, 0.5386, 0.3329).

The volume comes out at 18.0 Å³ per atom. The density comes out at 3.76 Mg/m³. The value obtained for the uncorrected energy is -5.73 eV per atom.